Entry 1:
VASP calculation (PBE-GGA) on crystalline CaLa2TlTe4 at its relaxed geometry.

a b c (Å): 8.020 4.575 8.159
angles (deg): 90.00 108.73 90.00
Atoms (fractional coordinates):
Ca 0.000 0.000 0.000
La 0.000 0.500 0.500
La 0.500 0.000 0.500
Tl 0.500 0.500 0.000
Te 0.239 0.000 0.740
Te 0.243 0.500 0.251
Te 0.757 0.500 0.749
Te 0.761 0.000 0.260

total energy = -4.69 eV per atom
E_form (uncorrected) = -1.339 eV/atom

Entry 2:
VASP calculation (PBE-GGA) on crystalline CaLa2TmTe4 at its relaxed geometry.

a b c (Å): 7.720 4.445 7.872
angles (deg): 90.00 108.88 90.00
Atoms (fractional coordinates):
Ca 0.000 0.000 0.000
La 0.000 0.500 0.500
La 0.500 0.000 0.500
Tm 0.500 0.500 0.000
Te 0.249 0.500 0.234
Te 0.260 0.000 0.769
Te 0.740 0.000 0.231
Te 0.751 0.500 0.766

total energy = -5.10 eV per atom
E_form (uncorrected) = -1.485 eV/atom

Entry 3:
VASP calculation (PBE-GGA) on crystalline Ca3La2TmTe6 at its relaxed geometry.

a b c (Å): 10.101 10.101 9.072
angles (deg): 103.88 103.88 25.50
Atoms (fractional coordinates):
Ca 0.000 0.000 0.000
Ca 0.330 0.330 0.665
Ca 0.670 0.670 0.335
La 0.331 0.331 0.160
La 0.669 0.669 0.840
Tm 0.000 0.000 0.500
Te 0.162 0.162 0.092
Te 0.162 0.162 0.576
Te 0.498 0.498 0.738
Te 0.502 0.502 0.262
Te 0.838 0.838 0.424
Te 0.838 0.838 0.908

total energy = -4.79 eV per atom
E_form (uncorrected) = -1.522 eV/atom

Entry 4:
VASP calculation (PBE-GGA) on crystalline Ca2LaYTe4 at its relaxed geometry.

a b c (Å): 7.726 4.456 7.866
angles (deg): 90.00 109.08 90.00
Atoms (fractional coordinates):
Ca 0.000 0.000 0.000
Ca 0.500 0.500 0.000
La 0.000 0.500 0.500
Y 0.500 0.000 0.500
Te 0.258 0.500 0.250
Te 0.260 0.000 0.755
Te 0.740 0.000 0.245
Te 0.742 0.500 0.750

total energy = -5.02 eV per atom
E_form (uncorrected) = -1.522 eV/atom